Computed, not measured: As2Se2I after structural relaxation at the GGA-PBE level of DFT.

Results
Density of states at the Fermi level: 2.15 states/eV/f.u.
E_form (uncorrected): 111 meV per atom
Energy relative to the lowest polymorph listed for this composition: 128.1 meV per atom

Cell: 4.7240 4.7240 12.3100 Å, 90.00 90.00 90.00°
Space group I4/mmm (No. 139)
One atom of each set of equivalent atoms:
As  0.0000  0.0000  0.1543 [4 per cell]
Se  0.0000  0.5000  0.2500 [4 per cell]
I  0.0000  0.0000  0.5000 [2 per cell]